1.
The following is a GGA-PBE calculation of a geometry-optimized Sc5Au3 structure, from Alexandria.

Cell: 8.3094 8.3093 5.6120 Å, 90.00 90.00 120.00°
Closest atoms and distances in Å follow each position.
Element x y z (fractional)
Au1 0.6027 0.6027 0.7500  9 Sc 2.88-3.09
Au2 0.6027 0.0000 0.2500  9 Sc 2.88-3.09
Au3 0.0000 0.6027 0.2500  9 Sc 2.88-3.09
Au4 0.3973 0.3973 0.2500  9 Sc 2.88-3.09
Au5 0.3973 0.0000 0.7500  9 Sc 2.88-3.09
Au6 0.0000 0.3973 0.7500  9 Sc 2.88-3.09
Sc1 0.6667 0.3333 0.5000  2 Sc 2.81, 6 Au 2.91
Sc2 0.0000 0.2404 0.2500  5 Au 2.88-3.09
Sc3 0.7596 0.0000 0.7500  5 Au 2.88-3.09
Sc4 0.7596 0.7596 0.2500  5 Au 2.88-3.09
Sc5 0.3333 0.6667 0.0000  2 Sc 2.81, 6 Au 2.91
Sc6 0.2404 0.2404 0.7500  5 Au 2.88-3.09
Sc7 0.2404 0.0000 0.2500  5 Au 2.88-3.09
Sc8 0.3333 0.6667 0.5000  2 Sc 2.81, 6 Au 2.91
Sc9 0.6667 0.3333 0.0000  2 Sc 2.81, 6 Au 2.91
Sc10 0.0000 0.7596 0.7500  5 Au 2.88-3.09

Summary:
Space group: No. 193
Uncorrected energy: -93.13 eV for the cell shown
Fermi-level density of states: 10.47 states/eV/f.u.
Distance to the lowest polymorph of the same formula: 0.000 eV/atom


2.
The following is a GGA-PBE calculation of a geometry-optimized Sc8Au structure, from Alexandria.

Cell: 7.7455 7.7455 7.7455 Å, 93.26 93.26 152.42°
Closest atoms and distances in Å follow each position.
Element x y z (fractional)
Sc1 0.6609 0.0000 0.6609  8 Sc 3.04-3.15
Sc2 0.0000 0.3391 0.3391  8 Sc 3.04-3.15
Sc3 0.6562 0.3438 0.0000  2 Au 2.99, 6 Sc 3.15-3.32
Sc4 0.3438 0.6562 0.0000  2 Au 2.99, 6 Sc 3.15-3.32
Sc5 0.6562 0.6562 0.3125  2 Au 2.99, 6 Sc 3.15-3.32
Sc6 0.3391 0.0000 0.3391  8 Sc 3.04-3.15
Sc7 0.0000 0.6609 0.6609  8 Sc 3.04-3.15
Sc8 0.3438 0.3438 0.6875  2 Au 2.99, 6 Sc 3.15-3.32
Au1 0.0000 0.0000 0.0000  8 Sc 2.99

Summary:
Space group: No. 139
Uncorrected energy: -54.87 eV for the cell shown
Fermi-level density of states: 14.89 states/eV/f.u.


3.
The following is a GGA-PBE calculation of a geometry-optimized Sc5Au structure, from Alexandria.

Cell: 3.3426 3.3426 12.3822 Å, 90.00 90.00 90.00°
Closest atoms and distances in Å follow each position.
Element x y z (fractional)
Sc1 0.0000 0.0000 0.9738  4 Au 2.93, 4 Sc 3.24
Sc2 0.5000 0.5000 0.1530  12 Sc 3.24-3.34
Sc3 0.0000 0.0000 0.6928  4 Au 2.93, 4 Sc 3.24
Sc4 0.0000 0.0000 0.3333  12 Sc 3.25-3.34
Sc5 0.5000 0.5000 0.5137  12 Sc 3.24-3.34
Au1 0.5000 0.5000 0.8333  8 Sc 2.93

Summary:
Space group: No. 123
Uncorrected energy: -36.26 eV for the cell shown
Fermi-level density of states: 8.95 states/eV/f.u.
Distance to the lowest polymorph of the same formula: 0.021 eV/atom